1.
# La2Al4ZnAg3

A geometry-optimized La2Al4ZnAg3 structure (PBE, the Alexandria database).

Structure (POSCAR):
```
La2Al4ZnAg3
1.0
4.4569 0.0000 0.0000
0.0000 4.4569 0.0000
0.0000 0.0000 10.7378
La Al Zn Ag
2 4 1 3
Direct
0.0000 0.5000 0.2448 La
0.5000 0.0000 0.7552 La
0.0000 0.0000 0.5000 Al
0.0000 0.5000 0.8694 Al
0.5000 0.0000 0.1306 Al
0.5000 0.5000 0.5000 Al
0.5000 0.5000 0.0000 Zn
0.0000 0.0000 0.0000 Ag
0.0000 0.5000 0.6306 Ag
0.5000 0.0000 0.3694 Ag
```

Summary:
SG	P-4m2
energy of formation	-36.0	kJ/mol of atoms
D(E_F)	6.065	states/eV per cell



2.
# Cd2P

A geometry-optimized Cd2P structure (PBE, the Alexandria database).

Structure (POSCAR):
```
Cd2P
1.0
5.3769 0.0000 0.0000
0.0000 7.2018 0.0000
0.0000 0.0000 7.3426
Cd P
8 4
Direct
0.2127 0.1212 0.0532 Cd
0.2127 0.8788 0.5532 Cd
0.2873 0.3788 0.5532 Cd
0.2873 0.6212 0.0532 Cd
0.7127 0.3788 0.9468 Cd
0.7127 0.6212 0.4468 Cd
0.7873 0.1212 0.4468 Cd
0.7873 0.8788 0.9468 Cd
0.0000 0.3878 0.2500 P
0.0000 0.6122 0.7500 P
0.5000 0.1122 0.7500 P
0.5000 0.8878 0.2500 P
```

Summary:
SG	Pbcn
energy of formation	8.7	kJ/mol of atoms
excess energy over the best structure of this formula in the dataset	1	meV per atom
D(E_F)	5.048	states/eV per cell



| no. | raw total energy (eV/atom) |
| --- | --- |
| 1 | -3.839 |
| 2 | -2.323 |